1.
Computed, not measured: a relaxed SrPm2Hg crystal at the GGA-PBE level of DFT.

Results
Energy relative to the lowest polymorph listed for this composition ... 0.065 eV/atom
Formation enthalpy at 0 K ... -59 meV per atom
D(E_F) ... 5.49 states/eV/cell

Lattice parameters (Å, degrees): 11.4711 11.4711 11.4711 19.37 19.37 19.37
Positions (direct):
Sr (0.0000, 0.0000, 0.0000)
Pm (0.5691, 0.5691, 0.5691)
Pm (0.7648, 0.7648, 0.7648)
Hg (0.1667, 0.1667, 0.1667)

2.
Computed, not measured: a relaxed PdIBr4 crystal at the GGA-PBE level of DFT.

Results
Energy relative to the lowest polymorph listed for this composition ... 0.000 eV/atom
D(E_F) ... 9.14 states/eV/cell

Lattice parameters (Å, degrees): 9.6891 9.6891 6.6487 90.19 90.19 131.30
Positions (direct):
Pd (0.0546, 0.9454, 0.7500)
Pd (0.9454, 0.0546, 0.2500)
I (0.3449, 0.6551, 0.2500)
I (0.6551, 0.3449, 0.7500)
Br (0.0221, 0.3466, 0.0960)
Br (0.1301, 0.2270, 0.5653)
Br (0.2270, 0.1301, 0.0653)
Br (0.3466, 0.0221, 0.5960)
Br (0.6534, 0.9779, 0.4040)
Br (0.7730, 0.8699, 0.9347)
Br (0.8699, 0.7730, 0.4347)
Br (0.9779, 0.6534, 0.9040)